No. 1
Computed, not measured: a relaxed AlV2Cr crystal at the PBE-GGA level of DFT.

abc: 4.1577 8.4842 6.0523
angles: 90.00 90.00 90.00
Closest atoms and distances in Å follow each position.
Sites, in units of the cell vectors:
Al 0.2498 0.7500 0.1370  3 Cr 2.58-2.87, 4 V 2.59-2.72, 2 Al 2.66
V 0.7500 0.0000 0.6185  4 V 2.53, 2 Cr 2.53, 2 Al 2.59
Cr 0.2501 0.2500 0.6109  2 Cr 2.47, 4 V 2.53-2.59, 2 Al 2.58
Al 0.2502 0.2500 0.1370  3 Cr 2.58-2.87, 4 V 2.59-2.72, 2 Al 2.66
Cr 0.7499 0.7500 0.3891  2 Cr 2.47, 4 V 2.53-2.59, 2 Al 2.58
V 0.7500 0.5000 0.6185  4 V 2.53, 2 Cr 2.53, 2 Al 2.59
V 0.7500 0.0000 0.1440  4 V 2.53-2.71, 2 Cr 2.59, 2 Al 2.72
V 0.2500 0.5000 0.3815  4 V 2.53, 2 Cr 2.53, 2 Al 2.59
V 0.7500 0.5000 0.1440  4 V 2.53-2.71, 2 Cr 2.59, 2 Al 2.72
Al 0.7502 0.2500 0.8630  3 Cr 2.58-2.87, 4 V 2.59-2.72, 2 Al 2.66
Cr 0.7501 0.2500 0.3891  2 Cr 2.47, 4 V 2.53-2.59, 2 Al 2.58
V 0.2500 0.0000 0.3815  4 V 2.53, 2 Cr 2.53, 2 Al 2.59
V 0.2500 0.5000 0.8560  4 V 2.53-2.71, 2 Cr 2.59, 2 Al 2.72
Al 0.7498 0.7500 0.8630  3 Cr 2.58-2.87, 4 V 2.59-2.72, 2 Al 2.66
Cr 0.2499 0.7500 0.6109  2 Cr 2.47, 4 V 2.53-2.59, 2 Al 2.58
V 0.2500 0.0000 0.8560  4 V 2.53-2.71, 2 Cr 2.59, 2 Al 2.72

Computed properties:
VASP energy ... -8.016 eV per atom


No. 2
Computed, not measured: a relaxed TaGeTe2I crystal at the PBE-GGA level of DFT.

abc: 5.3609 5.3609 5.3710
angles: 90.00 90.00 90.00
Closest atoms and distances in Å follow each position.
Sites, in units of the cell vectors:
I 0.0000 0.0000 0.5000  2 Ge 2.69
Ta 0.5000 0.5000 0.5000  4 I 3.79, 8 Te 3.79
Te 0.0000 0.5000 0.0000  2 Ge 2.68
Te 0.5000 0.0000 0.0000  2 Ge 2.68
Ge 0.0000 0.0000 0.0000  4 Te 2.68, 2 I 2.69

Computed properties:
E_form (uncorrected) ... 1149 meV/atom
Energy relative to the lowest polymorph listed for this composition ... 640.2 meV per atom


No. 3
Computed, not measured: a relaxed PmErI3 crystal at the PBE-GGA level of DFT.

abc: 4.1264 10.7292 12.3910
angles: 58.97 80.42 78.91
Closest atoms and distances in Å follow each position.
Sites, in units of the cell vectors:
I 0.8140 0.2416 0.1304  1 Pm 3.11, 2 Er 3.18
I 0.0745 0.6160 0.2349  1 Pm 3.11, 2 Er 3.16
Er 0.5705 0.8300 0.0289  4 I 3.16-3.18, 1 Er 3.28
I 0.9255 0.3840 0.7651  1 Pm 3.11, 2 Er 3.16
Pm 0.0757 0.0971 0.7515  4 I 3.11-3.13
Pm 0.9243 0.9029 0.2485  4 I 3.11-3.13
I 0.1860 0.7584 0.8696  1 Pm 3.11, 2 Er 3.18
I 0.6379 0.1921 0.5320  2 Pm 3.13
Er 0.4295 0.1700 0.9711  4 I 3.16-3.18, 1 Er 3.28
I 0.3621 0.8079 0.4680  2 Pm 3.13

Computed properties:
E_form (uncorrected) ... -1091 meV/atom
Energy relative to the lowest polymorph listed for this composition ... 0.0 meV per atom


No. 4
Computed, not measured: a relaxed La2Zr2Ti crystal at the PBE-GGA level of DFT.

abc: 7.3028 7.3028 5.1966
angles: 90.00 90.00 90.00
Closest atoms and distances in Å follow each position.
Sites, in units of the cell vectors:
La 0.3311 0.1689 0.5000  6 Zr 3.22-3.48, 1 La 3.49
Ti 0.0000 0.0000 0.0000  4 Zr 2.79
Zr 0.8527 0.6473 0.0000  2 Ti 2.79, 1 Zr 3.04
Zr 0.6473 0.1473 0.0000  2 Ti 2.79, 1 Zr 3.04
La 0.6689 0.8311 0.5000  6 Zr 3.22-3.48, 1 La 3.49
Ti 0.5000 0.5000 0.0000  4 Zr 2.79
Zr 0.1473 0.3527 0.0000  2 Ti 2.79, 1 Zr 3.04
La 0.8311 0.3311 0.5000  6 Zr 3.22-3.48, 1 La 3.49
Zr 0.3527 0.8527 0.0000  2 Ti 2.79, 1 Zr 3.04
La 0.1689 0.6689 0.5000  6 Zr 3.22-3.48, 1 La 3.49

Computed properties:
VASP energy ... -6.612 eV per atom


No. 5
Computed, not measured: a relaxed TaBeRh4 crystal at the PBE-GGA level of DFT.

abc: 5.0488 5.0488 5.0488
angles: 60.00 60.00 60.00
Closest atoms and distances in Å follow each position.
Sites, in units of the cell vectors:
Be 0.0000 0.0000 0.0000  12 Rh 2.96, 4 Ta 3.09
Rh 0.8773 0.3742 0.3742  6 Rh 2.51-2.54
Rh 0.3742 0.3742 0.8773  6 Rh 2.51-2.54
Ta 0.7500 0.7500 0.7500  12 Rh 2.96, 4 Be 3.09
Rh 0.3742 0.3742 0.3742  6 Rh 2.51-2.54
Rh 0.3742 0.8773 0.3742  6 Rh 2.51-2.54

Computed properties:
VASP energy ... -7.461 eV per atom


No. 6
Computed, not measured: a relaxed LaZnCuNi2 crystal at the PBE-GGA level of DFT.

abc: 3.9582 3.8903 6.1285
angles: 108.51 108.84 90.00
Closest atoms and distances in Å follow each position.
Sites, in units of the cell vectors:
Ni 0.6860 0.1860 0.3721  2 Ni 2.46, 2 Cu 2.49
Zn 0.1926 0.6926 0.3851  2 Ni 2.47, 2 Cu 2.48
Ni 0.0529 0.0529 0.1057  1 Cu 2.45, 2 Ni 2.46, 2 Zn 2.47
La 0.4520 0.4520 0.9039  6 Ni 2.99-3.21, 4 Cu 3.08, 2 Zn 3.29
Cu 0.8287 0.8287 0.6574  3 Ni 2.45-2.49, 2 Zn 2.48

Computed properties:
VASP energy ... -4.601 eV per atom


No. 7
Computed, not measured: a relaxed La3Zn2AgPd9 crystal at the PBE-GGA level of DFT.

abc: 7.6945 7.6945 6.3413
angles: 90.00 90.00 120.00
Closest atoms and distances in Å follow each position.
Sites, in units of the cell vectors:
Pd 0.5000 0.0000 0.0000  2 Zn 2.41
La 0.0000 0.0000 0.0000  6 Pd 3.15, 2 Ag 3.17
Pd 0.1754 0.3509 0.3323  1 Zn 2.41, 1 Ag 2.57
Pd 0.6491 0.8246 0.3323  1 Zn 2.41, 1 Ag 2.57
Pd 0.5000 0.5000 0.0000  2 Zn 2.41
La 0.3333 0.6667 0.6552  6 Pd 2.94-3.12, 2 Zn 3.12-3.22
La 0.6667 0.3333 0.3448  6 Pd 2.94-3.12, 2 Zn 3.12-3.22
Pd 0.8246 0.1754 0.6677  1 Zn 2.41, 1 Ag 2.57
Pd 0.0000 0.5000 0.0000  2 Zn 2.41
Pd 0.8246 0.6491 0.6677  1 Zn 2.41, 1 Ag 2.57
Ag 0.0000 0.0000 0.5000  6 Pd 2.57
Zn 0.3333 0.6667 0.1474  6 Pd 2.41
Pd 0.1754 0.8246 0.3323  1 Zn 2.41, 1 Ag 2.57
Pd 0.3509 0.1754 0.6677  1 Zn 2.41, 1 Ag 2.57
Zn 0.6667 0.3333 0.8526  6 Pd 2.41

Computed properties:
VASP energy ... -4.801 eV per atom


No. 8
Computed, not measured: a relaxed Li2HoEr2Ga2 crystal at the PBE-GGA level of DFT.

abc: 4.5717 4.5717 9.0867
angles: 75.43 75.43 60.00
Closest atoms and distances in Å follow each position.
Sites, in units of the cell vectors:
Ga 0.7388 0.7388 0.7836  3 Li 2.65
Ho 0.0000 0.0000 0.0000  6 Li 3.13, 6 Ga 3.24, 2 Er 3.30
Er 0.1263 0.1263 0.6210  3 Ga 2.99, 3 Li 3.10, 1 Ho 3.30
Li 0.3976 0.3976 0.8072  3 Ga 2.65
Li 0.6024 0.6024 0.1928  3 Ga 2.65
Er 0.8737 0.8737 0.3790  3 Ga 2.99, 3 Li 3.10, 1 Ho 3.30
Ga 0.2612 0.2612 0.2164  3 Li 2.65

Computed properties:
VASP energy ... -3.643 eV per atom


No. 9
Computed, not measured: a relaxed PmTmAs2 crystal at the PBE-GGA level of DFT.

abc: 5.0905 5.0905 5.0905
angles: 60.00 60.00 60.00
Closest atoms and distances in Å follow each position.
Sites, in units of the cell vectors:
As 0.7500 0.7500 0.7500  4 Tm 3.12, 4 Pm 3.12
Tm 0.5000 0.5000 0.5000  8 As 3.12
As 0.2500 0.2500 0.2500  4 Tm 3.12, 4 Pm 3.12
Pm 0.0000 0.0000 0.0000  8 As 3.12

Computed properties:
Energy relative to the lowest polymorph listed for this composition ... 479.1 meV per atom


No. 10
Computed, not measured: a relaxed Pm6DyHo crystal at the PBE-GGA level of DFT.

abc: 6.2623 6.2617 8.1063
angles: 105.11 105.11 108.98
Closest atoms and distances in Å follow each position.
Sites, in units of the cell vectors:
Pm 0.6238 0.1238 0.2476  8 Pm 3.59-3.66, 2 Dy 3.61, 2 Ho 3.61
Pm 0.2499 0.2500 0.4999  1 Ho 3.62, 1 Dy 3.62, 10 Pm 3.63-3.64
Pm 0.8762 0.3763 0.7525  8 Pm 3.59-3.66, 2 Ho 3.61, 2 Dy 3.61
Dy 0.5000 0.5000 0.0000  10 Pm 3.61-3.62, 2 Ho 3.64
Pm 0.7501 0.7500 0.5001  1 Ho 3.62, 1 Dy 3.62, 10 Pm 3.63-3.64
Pm 0.3762 0.8762 0.7524  8 Pm 3.59-3.66, 2 Dy 3.61, 2 Ho 3.61
Pm 0.1238 0.6237 0.2475  8 Pm 3.59-3.66, 2 Ho 3.61, 2 Dy 3.61
Ho 0.0000 0.0000 0.0000  10 Pm 3.61-3.62, 2 Dy 3.64

Computed properties:
VASP energy ... -4.694 eV per atom


Copy entry 7 word for word.
Computed, not measured: a relaxed La3Zn2AgPd9 crystal at the PBE-GGA level of DFT.

abc: 7.6945 7.6945 6.3413
angles: 90.00 90.00 120.00
Closest atoms and distances in Å follow each position.
Sites, in units of the cell vectors:
Pd 0.5000 0.0000 0.0000  2 Zn 2.41
La 0.0000 0.0000 0.0000  6 Pd 3.15, 2 Ag 3.17
Pd 0.1754 0.3509 0.3323  1 Zn 2.41, 1 Ag 2.57
Pd 0.6491 0.8246 0.3323  1 Zn 2.41, 1 Ag 2.57
Pd 0.5000 0.5000 0.0000  2 Zn 2.41
La 0.3333 0.6667 0.6552  6 Pd 2.94-3.12, 2 Zn 3.12-3.22
La 0.6667 0.3333 0.3448  6 Pd 2.94-3.12, 2 Zn 3.12-3.22
Pd 0.8246 0.1754 0.6677  1 Zn 2.41, 1 Ag 2.57
Pd 0.0000 0.5000 0.0000  2 Zn 2.41
Pd 0.8246 0.6491 0.6677  1 Zn 2.41, 1 Ag 2.57
Ag 0.0000 0.0000 0.5000  6 Pd 2.57
Zn 0.3333 0.6667 0.1474  6 Pd 2.41
Pd 0.1754 0.8246 0.3323  1 Zn 2.41, 1 Ag 2.57
Pd 0.3509 0.1754 0.6677  1 Zn 2.41, 1 Ag 2.57
Zn 0.6667 0.3333 0.8526  6 Pd 2.41

Computed properties:
VASP energy ... -4.801 eV per atom